(1)
Here is a relaxed structure of BaCa2I6 from the Alexandria database. Energies are from GGA-PBEsol.

Cell and atoms, written as extended XYZ:
```
18
Lattice="7.673 0.000 0.066 0.000 8.626 0.000 -0.097 0.000 11.442" Properties=species:S:1:pos:R:3 pbc="T T T"
I 6.203 0.650 9.372
I 2.374 7.983 7.821
Ca 3.611 2.070 8.559
I 1.096 3.789 7.879
Ba 3.389 5.472 5.732
I 2.589 1.696 11.446
I 0.932 6.234 11.432
I 2.415 7.976 3.618
I 1.133 3.786 3.550
I 4.920 4.840 9.304
Ca 7.496 6.556 2.871
I 6.474 6.930 5.758
Ca 7.446 6.560 8.663
I 4.817 2.392 5.744
I 4.981 4.837 2.191
Ba 7.177 3.154 11.487
I 6.259 0.643 2.133
Ca 3.658 2.066 2.909
```

Computed properties:
space group: Pc (7)
crystal system: monoclinic
energy above the lowest structure with this stoichiometry: 0.000 eV/atom
calculated density: 4.29 g cm⁻³
energy: -63.3 eV for the cell shown
magnetization: 0.00 μB/f.u.

(2)
Here is a relaxed structure of BaCaI4 from the Alexandria database. Energies are from GGA-PBEsol.

Cell and atoms, written as extended XYZ:
```
12
Lattice="-0.610 -0.739 5.956 6.855 -4.011 0.204 5.694 9.666 -1.273" Properties=species:S:1:pos:R:3 pbc="T T T"
I 6.106 -3.075 3.299
I 6.853 0.699 3.844
Ca 4.431 7.622 1.400
Ba 6.089 4.073 4.184
I 2.941 2.143 3.622
I 4.637 -0.172 0.454
I 8.243 3.215 1.243
I 7.467 7.034 1.638
I 4.568 4.520 1.029
I 4.093 6.965 4.339
Ba 8.126 -0.489 0.772
Ca 4.099 -0.712 3.387
```

Computed properties:
space group: Cmc2_1 (36)
crystal system: orthorhombic
energy above the lowest structure with this stoichiometry: 0.046 eV/atom
calculated density: 4.36 g cm⁻³
energy: -42.1 eV for the cell shown
magnetization: 0.00 μB/f.u.

(3)
Here is a relaxed structure of BaCa2I6 from the Alexandria database. Energies are from GGA-PBEsol.

Cell and atoms, written as extended XYZ:
```
18
Lattice="-0.886 2.091 7.198 -7.263 1.555 -1.346 -3.528 -13.470 3.479" Properties=species:S:1:pos:R:3 pbc="T T T"
I -7.856 -5.082 1.962
I -8.835 -9.374 3.272
Ca -4.665 -0.434 3.509
I -5.096 -9.059 8.282
I -4.790 -8.097 4.083
I -3.516 -3.235 2.827
Ca -1.173 -4.478 1.157
I -6.887 -1.727 5.248
I -3.821 -4.743 7.369
I -6.580 -0.765 1.049
Ba 0.000 0.000 0.000
I -2.579 1.154 1.852
Ba -5.838 -4.912 4.666
I -5.570 2.492 4.001
Ca -2.355 -8.992 2.322
Ca -7.011 -9.391 5.822
I -8.160 -6.589 6.504
I -2.842 -0.451 6.059
```

Computed properties:
space group: P4_2/mnm (136)
crystal system: tetragonal
energy above the lowest structure with this stoichiometry: 0.023 eV/atom
calculated density: 3.98 g cm⁻³
energy: -62.9 eV for the cell shown
magnetization: 0.00 μB/f.u.

(4)
Here is a relaxed structure of BaCaI4 from the Alexandria database. Energies are from GGA-PBEsol.

Cell and atoms, written as extended XYZ:
```
24
Lattice="7.795 0.000 0.000 0.000 11.019 0.000 0.000 0.000 11.414" Properties=species:S:1:pos:R:3 pbc="T T T"
Ba 4.179 9.218 8.560
Ca 0.000 0.000 5.707
I 6.296 8.264 5.707
I 1.499 2.755 0.000
I 5.131 4.417 4.744
I 2.664 9.926 4.744
I 5.131 1.093 6.670
Ca 0.000 5.510 0.000
I 5.131 4.417 0.963
Ba 4.179 7.311 2.853
I 1.006 6.017 2.853
I 6.789 0.508 2.853
I 2.664 6.602 6.670
Ca 0.000 5.510 5.707
I 2.664 6.602 10.450
I 1.499 2.755 5.707
I 1.006 10.511 8.560
Ba 3.616 1.802 2.853
I 5.131 1.093 10.450
Ba 3.616 3.708 8.560
I 2.664 9.926 0.963
I 6.789 5.002 8.560
Ca 0.000 0.000 0.000
I 6.296 8.264 0.000
```

Computed properties:
space group: Pbcm (57)
crystal system: orthorhombic
energy above the lowest structure with this stoichiometry: 0.028 eV/atom
calculated density: 4.64 g cm⁻³
energy: -84.7 eV for the cell shown
magnetization: 0.00 μB/f.u.

(5)
Here is a relaxed structure of BaCa2I6 from the Alexandria database. Energies are from GGA-PBEsol.

Cell and atoms, written as extended XYZ:
```
9
Lattice="-5.648 0.736 -4.578 -5.026 -1.252 6.000 2.357 7.369 -1.723" Properties=species:S:1:pos:R:3 pbc="T T T"
Ca -2.928 4.864 -1.438
I -6.023 0.094 -1.231
I -4.651 -0.610 2.654
I -3.348 3.218 -4.030
Ca -5.389 1.990 1.137
Ba 0.000 0.000 0.000
I -2.413 2.405 0.378
I -5.904 4.449 -0.678
I 0.057 4.888 -2.271
```

Computed properties:
space group: P-31m (162)
crystal system: trigonal
energy above the lowest structure with this stoichiometry: 0.001 eV/atom
calculated density: 4.09 g cm⁻³
energy: -31.6 eV for the cell shown
magnetization: 0.00 μB/f.u.

(6)
Here is a relaxed structure of BaCaI4 from the Alexandria database. Energies are from GGA-PBEsol.

Cell and atoms, written as extended XYZ:
```
12
Lattice="-5.197 3.471 -4.924 2.153 -5.003 -5.799 -4.236 -4.473 7.744" Properties=species:S:1:pos:R:3 pbc="T T T"
Ba -5.477 -0.884 -1.270
I -2.363 -2.157 -2.200
Ca 0.000 0.000 0.000
I -5.558 -4.428 -1.006
Ba -1.522 -0.766 -5.362
Ca -1.802 -5.121 -1.708
I -2.422 -5.674 1.234
I -5.677 -1.696 2.118
I -4.097 -2.484 -7.109
I -3.616 -3.921 4.803
I -0.749 -4.169 -5.323
I -4.636 0.507 -4.432
```

Computed properties:
space group: I4_1/a (88)
crystal system: tetragonal
energy above the lowest structure with this stoichiometry: 0.040 eV/atom
calculated density: 4.41 g cm⁻³
energy: -42.2 eV for the cell shown
magnetization: 0.00 μB/f.u.

(7)
Here is a relaxed structure of BaCa2I6 from the Alexandria database. Energies are from GGA-PBEsol.

Cell and atoms, written as extended XYZ:
```
18
Lattice="7.652 0.000 0.000 0.000 8.179 0.228 -3.826 -0.460 11.943" Properties=species:S:1:pos:R:3 pbc="T T T"
Ba 1.717 6.134 0.171
I 0.127 0.542 6.623
I 4.239 -0.003 9.502
I 0.593 7.042 10.559
I 0.413 3.632 2.555
Ca 2.063 6.472 8.045
Ba 5.934 2.045 0.057
I 3.233 0.676 1.612
I -0.127 4.631 6.737
Ca 1.763 1.247 4.126
Ca -2.063 2.382 7.931
Ca 5.889 5.336 4.240
I -0.413 7.721 2.669
I 3.413 4.087 9.616
I -0.593 2.953 10.445
I 3.699 7.176 5.548
I 4.419 4.766 1.726
I 3.953 3.087 5.434
```

Computed properties:
space group: C2/c (15)
crystal system: monoclinic
energy above the lowest structure with this stoichiometry: 0.026 eV/atom
calculated density: 4.34 g cm⁻³
energy: -62.8 eV for the cell shown
magnetization: 0.00 μB/f.u.

(8)
Here is a relaxed structure of BaCa2I6 from the Alexandria database. Energies are from GGA-PBEsol.

Cell and atoms, written as extended XYZ:
```
27
Lattice="-5.523 4.304 0.532 -3.180 -5.595 12.258 8.463 10.939 -0.630" Properties=species:S:1:pos:R:3 pbc="T T T"
Ca -2.087 -3.672 8.044
I 0.049 8.570 1.236
I 1.671 4.534 2.409
I -0.909 6.783 5.749
I 2.161 4.453 10.634
I -3.828 3.175 5.532
I -1.073 1.250 2.969
Ca 0.822 5.776 8.153
I -2.491 5.035 1.874
Ca 1.816 1.837 3.998
I 3.486 6.341 6.635
Ba -2.086 2.088 8.230
I -0.507 0.797 10.940
I -4.880 1.276 9.972
I 2.083 10.688 5.218
I -3.315 -2.581 10.700
I -1.873 5.181 9.603
I 0.804 3.001 6.709
Ba 0.000 0.000 0.000
Ba 1.846 7.559 3.930
Ca -3.785 0.352 4.209
I 2.924 12.077 1.130
Ca 5.554 7.178 -0.413
I 1.073 8.708 9.173
I 4.704 8.435 2.328
Ca -0.039 5.671 0.063
I -2.242 -0.897 6.627
```

Computed properties:
space group: P321 (150)
crystal system: trigonal
energy above the lowest structure with this stoichiometry: 0.029 eV/atom
calculated density: 4.18 g cm⁻³
energy: -94.1 eV for the cell shown
magnetization: 0.00 μB/f.u.

(9)
Here is a relaxed structure of BaCa2I6 from the Alexandria database. Energies are from GGA-PBEsol.

Cell and atoms, written as extended XYZ:
```
36
Lattice="7.231 0.000 0.000 0.000 8.062 0.000 0.000 0.000 26.999" Properties=species:S:1:pos:R:3 pbc="T T T"
I 5.466 7.563 21.369
I 5.445 7.230 3.558
I 1.730 4.528 26.175
I 5.380 7.563 7.869
Ba 0.000 6.047 10.305
I 1.765 0.499 5.630
I 5.466 3.532 5.630
Ca 3.616 2.016 12.217
Ca 0.000 6.047 19.296
I 1.829 0.832 9.942
Ca 3.616 6.047 5.796
I 1.851 0.499 19.130
I 1.786 0.832 23.442
I 5.380 3.532 19.130
I 1.885 4.528 12.675
I 5.501 7.566 26.175
I 5.402 3.199 9.942
I 1.851 4.530 7.869
I 5.346 3.535 14.324
Ba 3.616 6.047 23.805
I 1.885 0.497 14.324
Ca 3.616 6.047 14.783
I 5.346 7.566 12.675
Ca 3.616 2.016 21.203
Ba 3.616 2.016 3.194
Ca 0.000 2.016 7.703
I 1.829 4.863 17.058
I 5.402 7.230 17.058
Ca 0.000 6.047 1.283
I 5.501 3.535 0.825
Ba 0.000 2.016 16.694
Ca 0.000 2.016 25.716
I 1.730 0.497 0.825
I 1.786 4.863 3.558
I 5.445 3.199 23.442
I 1.765 4.530 21.369
```

Computed properties:
space group: Pbcn (60)
crystal system: orthorhombic
energy above the lowest structure with this stoichiometry: 0.016 eV/atom
calculated density: 4.13 g cm⁻³
energy: -126.0 eV for the cell shown
magnetization: 0.00 μB/f.u.

Question: Among the records above, which one has the lowest energy above the lowest structure with this stoichiometry?
Answer: number 1